Record 1
# La14YTl

A relaxed La14YTl crystal (PBE-GGA, Alexandria via LeMat-Bulk).

Geometry as POSCAR:
```
La14YTl
1.0
5.188 -5.195 0.000
5.188 5.195 0.000
0.000 0.000 10.423
La Y Tl
14 1 1
Cartesian
0.000 0.000 0.000
2.594 2.598 0.000
2.594 2.598 5.211
2.545 0.000 2.653
2.545 0.000 7.769
5.188 2.640 2.653
5.188 2.640 7.770
2.594 -2.598 0.000
2.594 -2.598 5.211
5.188 0.000 0.000
5.188 -2.640 2.653
5.188 -2.640 7.770
7.832 0.000 2.653
7.832 0.000 7.769
5.188 0.000 5.211
0.000 0.000 5.211
```

Output
Density, g cm⁻³: 6.614
Formation enthalpy at 0 K, eV per formula unit: -0.76
E_tot, eV per atom: -4.9112
DOS at the Fermi energy, states/eV per atom: 1.32

Record 2
# PdPt8Rh6

A relaxed PdPt8Rh6 crystal (PBE-GGA, Alexandria via LeMat-Bulk).

Geometry as POSCAR:
```
PdPt8Rh6
1.0
3.428 1.979 5.695
-3.428 1.979 5.695
0.000 -3.959 5.695
Pd Pt Rh
1 8 6
Cartesian
0.000 0.000 0.000
-2.394 -0.777 9.113
-0.524 -2.462 7.972
-1.870 1.684 7.972
0.000 0.000 7.112
0.000 0.000 9.973
1.870 -1.684 9.113
0.524 2.462 9.113
2.394 0.777 7.972
-0.741 -1.382 4.923
-0.827 1.333 4.923
-1.568 -0.049 12.162
1.568 0.049 4.923
0.827 -1.333 12.162
0.741 1.382 12.162
```

Output
Density, g cm⁻³: 16.360
Formation enthalpy at 0 K, eV per formula unit: 2.20
E_tot, eV per atom: -6.3621
ΔE to the lowest computed polymorph, meV per atom: 0
DOS at the Fermi energy, states/eV per atom: 1.99

Record 3
# Ac2Zn3CdRh4

A relaxed Ac2Zn3CdRh4 crystal (PBE-GGA, Alexandria via LeMat-Bulk).

Geometry as POSCAR:
```
Ac2Zn3CdRh4
1.0
4.408 0.000 0.000
0.000 4.408 0.000
0.000 0.000 10.572
Ac Zn Cd Rh
2 3 1 4
Cartesian
0.000 2.204 2.447
2.204 0.000 8.125
0.000 2.204 9.340
2.204 0.000 1.232
2.204 2.204 5.286
0.000 0.000 5.286
0.000 0.000 0.000
0.000 2.204 6.836
2.204 0.000 3.736
2.204 2.204 0.000
```

Output
Density, g cm⁻³: 9.491
Formation enthalpy at 0 K, eV per formula unit: -4.81
E_tot, eV per atom: -4.7173
DOS at the Fermi energy, states/eV per atom: 0.31

Record 4
# Nd2SmErTe5

A relaxed Nd2SmErTe5 crystal (PBE-GGA, Alexandria via LeMat-Bulk).

Geometry as POSCAR:
```
Nd2SmErTe5
1.0
5.641 0.000 0.000
0.000 5.641 0.000
0.000 0.000 11.589
Nd Sm Er Te
2 1 1 5
Cartesian
0.000 0.000 1.848
0.000 0.000 9.741
2.821 2.821 0.000
2.821 2.821 5.794
0.000 0.000 5.794
0.000 2.821 0.000
2.821 0.000 0.000
2.821 2.821 2.986
2.821 2.821 8.602
```

Output
Density, g cm⁻³: 5.602
E_tot, eV per atom: -4.5674
DOS at the Fermi energy, states/eV per atom: 0.49
Formation energy from raw total energies, kJ per mole of atoms: -70.54